{"formula": "Ba2LiZn6Pt", "functional": "PBE", "state": "relaxed", "lattice": [[-4.387, 5.337, -0.900], [-4.196, -2.633, 4.899], [-1.898, 3.912, 5.440]], "species": ["Zn", "Ba", "Li", "Pt", "Zn", "Zn", "Zn", "Ba", "Zn", "Zn"], "fractional_positions": [[0.754, 0.245, 0.000], [0.250, 0.750, 0.500], [0.000, 0.000, 0.000], [0.500, 0.500, 0.000], [0.246, 0.755, 0.000], [0.245, 0.245, 0.510], [0.754, 0.755, 0.000], [0.750, 0.250, 0.500], [0.755, 0.755, 0.490], [0.246, 0.245, 0.000]], "space_group": "C2/m, No. 12", "vol_a3_per_cell": 238.4}

=====

{"formula": "BaLiZn2Pt", "functional": "PBE", "state": "relaxed", "lattice": [[-1.069, -1.538, 4.594], [3.106, -3.827, -0.558], [3.698, 2.742, 1.779]], "species": ["Pt", "Li", "Zn", "Ba", "Zn"], "fractional_positions": [[0.000, 0.000, 0.000], [0.000, 0.000, 0.500], [0.500, 0.000, 0.000], [0.500, 0.500, 0.500], [0.000, 0.500, 0.000]], "space_group": "P4/mmm, No. 123", "vol_a3_per_cell": 121.5}

=====

{"formula": "Ba2LiZnPt", "functional": "PBE", "state": "relaxed", "lattice": [[-3.356, -0.588, 5.090], [-4.828, -1.674, -3.376], [1.368, -4.675, 0.362]], "species": ["Zn", "Li", "Pt", "Ba", "Ba"], "fractional_positions": [[0.500, 0.500, 0.500], [0.000, 0.000, 0.500], [0.000, 0.000, 0.000], [0.500, 0.000, 0.000], [0.000, 0.500, 0.000]], "space_group": "P4/mmm, No. 123", "e_above_lowest_polymorph_ev_per_atom": 0.041, "vol_a3_per_cell": 183.3}

=====

{"formula": "Ba2LiZn3Pt4", "functional": "PBE", "state": "relaxed", "lattice": [[4.400, 0.000, 0.000], [0.000, 4.400, 0.000], [0.000, 0.000, 10.889]], "species": ["Pt", "Zn", "Li", "Zn", "Pt", "Ba", "Pt", "Zn", "Pt", "Ba"], "fractional_positions": [[0.000, 0.000, 0.000], [0.000, 0.500, 0.126], [0.500, 0.500, 0.500], [0.000, 0.000, 0.500], [0.500, 0.000, 0.635], [0.000, 0.500, 0.751], [0.500, 0.500, 0.000], [0.500, 0.000, 0.874], [0.000, 0.500, 0.365], [0.500, 0.000, 0.249]], "space_group": "P-4m2, No. 115", "vol_a3_per_cell": 210.8}

=====

Energy of formation from the pure elements readings, ordered: -0.209 -0.409 -0.285 -0.628 eV per atom
M_tot readings, ordered: 0.0 0.0 0.0 0.0 μB/f.u.